Record 1
Below is a relaxed K2PaGeSe5 crystal, with properties calculated at the PBE-GGA level.

```
18
Lattice="-0.196 -4.355 0.569 7.074 1.019 -6.745 9.593 0.899 10.195" Properties=species:S:1:pos:R:3 pbc="T T T"
K 6.994 -2.909 -2.866
Se 9.575 -0.892 -3.523
Se 11.121 -2.749 -0.213
K 13.192 -2.312 3.842
Se 10.472 -0.106 2.804
Pa 9.099 -2.385 1.872
Ge 10.250 -0.634 -1.312
Ge 9.650 -1.482 8.977
Se 4.182 -2.501 -0.716
Se 0.908 -0.105 -0.487
Se 6.989 -2.091 3.397
Se 4.822 -0.783 -4.329
Se 8.085 -0.362 0.020
Se 11.139 -1.817 6.925
Se 7.474 -1.491 8.157
K 4.843 0.022 1.840
K 8.117 0.345 5.441
Pa 3.144 -0.448 -2.346
```

crystal system = orthorhombic
space-group type = No. 36
raw formation energy = -1047 meV per atom

Record 2
Below is a relaxed YZnN2 crystal, with properties calculated at the PBE-GGA level.

```
8
Lattice="4.720 0.000 0.000 0.000 4.720 0.000 2.360 2.360 5.441" Properties=species:S:1:pos:R:3 pbc="T T T"
Y 0.000 0.000 0.000
N 3.360 1.180 1.360
N 5.900 5.720 4.081
Zn 2.360 2.360 0.000
Zn 2.360 4.720 2.721
N 3.540 3.719 4.081
Y 4.720 2.360 2.721
N 1.360 3.540 1.360
```

crystal system = tetragonal
space-group type = No. 122
raw formation energy = -317 meV per atom

Record 3
Below is a relaxed SrPtSe2 crystal, with properties calculated at the PBE-GGA level.

```
4
Lattice="-2.710 -2.874 -0.457 0.568 -1.135 3.768 -4.434 3.888 1.839" Properties=species:S:1:pos:R:3 pbc="T T T"
Pt -4.957 1.403 3.268
Sr -1.899 1.665 0.788
Se -4.026 3.530 1.670
Se -2.344 -0.888 2.183
```

energy above the lowest structure with this stoichiometry = 273.2 meV per atom
crystal system = tetragonal
space-group type = No. 99
raw formation energy = -739 meV per atom

Record 4
Below is a relaxed MgHgOs2 crystal, with properties calculated at the PBE-GGA level.

```
8
Lattice="-4.098 4.376 -4.722 -2.816 -6.252 -3.349 -5.386 -0.957 -2.379" Properties=species:S:1:pos:R:3 pbc="T T T"
Os -3.561 -3.662 -3.212
Hg 0.000 0.000 0.000
Hg -6.471 1.241 -5.568
Mg -5.830 -4.073 -4.882
Os -6.593 -1.333 -4.764
Mg -3.457 -0.938 -4.036
Os -10.129 -2.448 -8.894
Os -4.318 1.776 -4.032
```

energy above the lowest structure with this stoichiometry = 982.3 meV per atom
crystal system = tetragonal
space-group type = No. 122
calculated formation energy = 27.0 kcal/mol of atoms

Number 1: ρ 4.366 g/cm3. Number 2: ρ 4.995 g/cm3. Number 3: ρ 7.492 g/cm3. Number 4: ρ 13.574 g/cm3.